## Cs3La3RhO8 (PBE)

Data for a geometry-optimized Cs3La3RhO8 structure.

abc: 8.0923 8.0923 8.0923
angles: 53.17 53.17 53.17
With the nearest neighbours (Å) after each atom.
Fractional coordinates of all 15 atoms:
Cs (0.0000, 0.5000, 0.5000)  6 O 3.10-3.11
Cs (0.5000, 0.0000, 0.5000)  6 O 3.10-3.11
Cs (0.5000, 0.5000, 0.0000)  6 O 3.10-3.11
La (0.0000, 0.0000, 0.5000)  6 O 2.39-2.47
La (0.0000, 0.5000, 0.0000)  6 O 2.39-2.47
La (0.5000, 0.0000, 0.0000)  6 O 2.39-2.47
Rh (0.5000, 0.5000, 0.5000)  6 O 2.14
O (0.2226, 0.2226, 0.2226)  3 La 2.39
O (0.2564, 0.6995, 0.6995)  1 Rh 2.14
O (0.3005, 0.3005, 0.7436)  1 Rh 2.14
O (0.3005, 0.7436, 0.3005)  1 Rh 2.14
O (0.6995, 0.2564, 0.6995)  1 Rh 2.14
O (0.6995, 0.6995, 0.2564)  1 Rh 2.14
O (0.7436, 0.3005, 0.3005)  1 Rh 2.14
O (0.7774, 0.7774, 0.7774)  3 La 2.39

Output
Density   5.52 Mg/m³
Formation energy from raw total energies   -2.16 eV/atom
Calculated total energy   -6.453 eV/atom

***

## Cs2La2RhO6 (PBE)

Data for a geometry-optimized Cs2La2RhO6 structure.

abc: 6.0980 6.0980 7.1873
angles: 96.84 96.84 119.28
With the nearest neighbours (Å) after each atom.
Fractional coordinates of all 11 atoms:
Cs (0.1634, 0.8366, 0.0000)  4 O 2.99-3.06
Cs (0.8366, 0.1634, 0.0000)  4 O 2.99-3.06
La (0.3356, 0.6644, 0.5000)  6 O 2.42-2.46
La (0.6644, 0.3356, 0.5000)  6 O 2.42-2.46
Rh (0.0000, 0.0000, 0.5000)  6 O 2.09-2.12
O (0.0421, 0.3414, 0.6544)  1 Rh 2.12
O (0.2398, 0.2398, 0.3376)  1 Rh 2.09
O (0.3414, 0.0421, 0.6544)  1 Rh 2.12
O (0.6586, 0.9579, 0.3456)  1 Rh 2.12
O (0.7602, 0.7602, 0.6624)  1 Rh 2.09
O (0.9579, 0.6586, 0.3456)  1 Rh 2.12

Output
Density   5.44 Mg/m³
Formation energy from raw total energies   -2.02 eV/atom
Calculated total energy   -6.445 eV/atom

***

## Cs2LaRuO6 (PBE)

Data for a geometry-optimized Cs2LaRuO6 structure.

abc: 6.6750 6.6750 6.0535
angles: 90.00 90.00 120.00
With the nearest neighbours (Å) after each atom.
Fractional coordinates of all 10 atoms:
Cs (0.3333, 0.6667, 0.3774)  3 O 3.03
Cs (0.6667, 0.3333, 0.6226)  3 O 3.03
La (0.0000, 0.0000, 0.0000)  6 O 2.39
Ru (0.0000, 0.0000, 0.5000)  6 O 1.93
O (0.1314, 0.2628, 0.6959)  1 Ru 1.93
O (0.1314, 0.8686, 0.6959)  1 Ru 1.93
O (0.2628, 0.1314, 0.3041)  1 Ru 1.93
O (0.7372, 0.8686, 0.6959)  1 Ru 1.93
O (0.8686, 0.1314, 0.3041)  1 Ru 1.93
O (0.8686, 0.7372, 0.3041)  1 Ru 1.93

Output
Density   4.28 Mg/m³
Formation energy from raw total energies   -1.62 eV/atom
Calculated total energy   -6.190 eV/atom

***

## CsLaRu2O (PBE)

Data for a geometry-optimized CsLaRu2O structure.

abc: 4.4585 4.4585 4.8860
angles: 90.00 90.00 90.00
With the nearest neighbours (Å) after each atom.
Fractional coordinates of all 5 atoms:
Cs (0.0000, 0.0000, 0.0000)  4 La 3.15, 8 Ru 3.31
La (0.5000, 0.5000, 0.0000)  2 O 2.44
Ru (0.0000, 0.5000, 0.5000)  2 O 2.23
Ru (0.5000, 0.0000, 0.5000)  2 O 2.23
O (0.5000, 0.5000, 0.5000)  4 Ru 2.23, 2 La 2.44

Output
Density   8.38 Mg/m³
Formation energy from raw total energies   0.30 eV/atom
Calculated total energy   -5.556 eV/atom